Fe2ClF | PBE+U | optimized geometry

It has space group Fm-3m (No. 225), with a = 6.057 Å, b = 6.057 Å, c = 6.057 Å, α = 90.00°, β = 90.00° and γ = 90.00°. The distinct sites, in fractional coordinates, are Fe at (0.250, 0.250, 0.250), Cl at (0.000, 0.000, 0.000) and F at (0.000, 0.000, 0.500).

The total energy is -4.150 eV per atom. The total magnetization comes out at 24.425 μB/cell.

***

FeCl2F | PBE+U | optimized geometry

It has space group Pnna (No. 52), with a = 6.213 Å, b = 5.480 Å, c = 9.524 Å, α = 90.00°, β = 90.00° and γ = 90.00°. The distinct sites, in fractional coordinates, are Fe at (0.250, 0.000, 0.104), Cl at (0.075, 0.235, 0.923) and F at (0.171, 0.250, 0.250).

The total energy is -4.131 eV per atom. The total magnetization comes out at 19.996 μB/cell.

***

Please write out number 2 again, unchanged.
FeCl2F | PBE+U | optimized geometry

It has space group Pnna (No. 52), with a = 6.213 Å, b = 5.480 Å, c = 9.524 Å, α = 90.00°, β = 90.00° and γ = 90.00°. The distinct sites, in fractional coordinates, are Fe at (0.250, 0.000, 0.104), Cl at (0.075, 0.235, 0.923) and F at (0.171, 0.250, 0.250).

The total energy is -4.131 eV per atom. The total magnetization comes out at 19.996 μB/cell.